Compound: NaNpRe2N6
Source: Alexandria
Functional: GGA-PBE
Structure: relaxed

a b c (Å): 11.097 9.655 6.347
angles (deg): 90.00 110.17 90.00
Space group C2/c (No. 15)
Symmetry-distinct sites (fractional):
Na: 0.000 0.078 0.250 (multiplicity 4)
Np: 0.000 0.298 0.750 (multiplicity 4)
Re: 0.200 0.408 0.212 (multiplicity 8)
N: 0.104 0.256 0.117 (multiplicity 8)
N: 0.132 0.133 0.691 (multiplicity 8)
N: 0.146 0.497 0.930 (multiplicity 8)

Summary:
Uncorrected formation energy in meV per atom: -252
Magnetization in μB per formula unit: 3.5